This record from Alexandria describes a relaxed Eu2DyTl crystal. The functional is PBE.

Properties
Polymorph energy (0 for the lowest one) = 106 meV/atom
SG = Fm-3m
Volume = 32.6 A^3/atom
Magnetic moment = 14.3 Bohr magnetons per cell
Calculated formation energy = -37 meV/atom

```
Eu2DyTl
1.0
0.000 4.025 4.025
4.025 0.000 4.025
4.025 4.025 0.000
Eu Dy Tl
2 1 1
Cartesian
2.012 2.012 2.012
6.037 6.037 6.037
0.000 0.000 0.000
4.025 4.025 4.025
```



This record from Alexandria describes a relaxed Eu2DyTl crystal. The functional is PBE.

Properties
Polymorph energy (0 for the lowest one) = 21 meV/atom
SG = P4/mmm
Volume = 34.0 A^3/atom
Magnetic moment = 15.5 Bohr magnetons per cell
Calculated formation energy = -122 meV/atom

```
Eu2DyTl
1.0
3.736 0.000 0.000
0.000 3.736 0.000
0.000 0.000 9.750
Eu Dy Tl
2 1 1
Cartesian
0.000 0.000 2.207
0.000 0.000 7.544
1.868 1.868 4.875
1.868 1.868 0.000
```



This record from Alexandria describes a relaxed EuDyTl4 crystal. The functional is PBE.

Properties
SG = F-43m
Volume = 29.4 A^3/atom
Magnetic moment = 7.8 Bohr magnetons per cell
Calculated formation energy = -107 meV/atom

```
EuDyTl4
1.0
0.000 4.454 4.454
4.454 0.000 4.454
4.454 4.454 0.000
Eu Dy Tl
1 1 4
Cartesian
0.000 0.000 0.000
2.227 2.227 2.227
5.565 3.342 3.342
3.342 5.565 3.342
3.342 3.342 5.565
5.565 5.565 5.565
```



This record from Alexandria describes a relaxed EuDyTl2 crystal. The functional is PBE.

Properties
Polymorph energy (0 for the lowest one) = 0 meV/atom
SG = P4/mmm
Volume = 29.3 A^3/atom
Magnetic moment = 7.2 Bohr magnetons per cell
Calculated formation energy = -392 meV/atom

```
EuDyTl2
1.0
3.885 0.000 0.000
0.000 3.885 0.000
0.000 0.000 7.773
Eu Dy Tl
1 1 2
Cartesian
0.000 0.000 0.000
0.000 0.000 3.886
1.942 1.942 2.083
1.942 1.942 5.690
```



This record from Alexandria describes a relaxed Eu2DyTl crystal. The functional is PBE.

Properties
Polymorph energy (0 for the lowest one) = 0 meV/atom
SG = P4/mmm
Volume = 31.6 A^3/atom
Magnetic moment = 14.3 Bohr magnetons per cell
Calculated formation energy = -143 meV/atom

```
Eu2DyTl
1.0
4.923 0.000 0.000
0.000 4.923 0.000
0.000 0.000 5.214
Eu Dy Tl
2 1 1
Cartesian
0.000 2.461 0.000
2.461 0.000 0.000
0.000 0.000 2.607
2.461 2.461 2.607
```



This record from Alexandria describes a relaxed EuDyTl crystal. The functional is PBE.

Properties
Polymorph energy (0 for the lowest one) = 104 meV/atom
SG = F-43m
Volume = 35.9 A^3/atom
Magnetic moment = 7.2 Bohr magnetons per cell
Calculated formation energy = -58 meV/atom

```
EuDyTl
1.0
0.000 3.775 3.775
3.775 0.000 3.775
3.775 3.775 0.000
Eu Dy Tl
1 1 1
Cartesian
0.000 0.000 0.000
3.775 3.775 3.775
1.887 1.887 1.887
```



This record from Alexandria describes a relaxed Eu2DyTl crystal. The functional is PBE.

Properties
Polymorph energy (0 for the lowest one) = 250 meV/atom
SG = R-3m
Volume = 37.0 A^3/atom
Magnetic moment = 15.4 Bohr magnetons per cell
Calculated formation energy = 107 meV/atom

```
Eu2DyTl
1.0
1.835 1.059 12.698
-1.835 1.059 12.698
0.000 -2.119 12.698
Eu Dy Tl
2 1 1
Cartesian
0.000 0.000 3.342
0.000 0.000 34.752
0.000 0.000 19.047
0.000 0.000 0.000
```



This record from Alexandria describes a relaxed EuDyTmTl crystal. The functional is PBE.

Properties
SG = F-43m
Volume = 30.2 A^3/atom
Magnetic moment = 7.7 Bohr magnetons per cell
Calculated formation energy = -27 meV/atom

```
EuDyTmTl
1.0
0.000 3.923 3.923
3.923 0.000 3.923
3.923 3.923 0.000
Eu Dy Tm Tl
1 1 1 1
Cartesian
0.000 0.000 0.000
3.923 3.923 3.923
1.961 1.961 1.961
5.884 5.884 5.884
```



This record from Alexandria describes a relaxed EuDyYTl crystal. The functional is PBE.

Properties
SG = F-43m
Volume = 29.9 A^3/atom
Magnetic moment = 7.7 Bohr magnetons per cell
Calculated formation energy = -33 meV/atom

```
EuDyYTl
1.0
0.000 3.910 3.910
3.910 0.000 3.910
3.910 3.910 0.000
Eu Dy Y Tl
1 1 1 1
Cartesian
0.000 0.000 0.000
1.955 1.955 1.955
5.866 5.866 5.866
3.910 3.910 3.910
```



This record from Alexandria describes a relaxed Eu2DyTm crystal. The functional is PBE.

Properties
Polymorph energy (0 for the lowest one) = 45 meV/atom
SG = Fm-3m
Volume = 34.8 A^3/atom
Magnetic moment = 14.5 Bohr magnetons per cell
Calculated formation energy = 174 meV/atom

```
Eu2DyTm
1.0
0.000 4.112 4.112
4.112 0.000 4.112
4.112 4.112 0.000
Eu Dy Tm
2 1 1
Cartesian
2.056 2.056 2.056
6.168 6.168 6.168
0.000 0.000 0.000
4.112 4.112 4.112
```



This record from Alexandria describes a relaxed Eu2DyTm crystal. The functional is PBE.

Properties
Polymorph energy (0 for the lowest one) = 46 meV/atom
SG = P4/mmm
Volume = 34.8 A^3/atom
Magnetic moment = 14.6 Bohr magnetons per cell
Calculated formation energy = 175 meV/atom

```
Eu2DyTm
1.0
5.805 0.000 0.000
0.000 5.805 0.000
0.000 0.000 4.132
Eu Dy Tm
2 1 1
Cartesian
0.000 2.902 0.000
2.902 0.000 0.000
0.000 0.000 2.066
2.902 2.902 2.066
```



This record from Alexandria describes a relaxed Eu2DyTm crystal. The functional is PBE.

Properties
Polymorph energy (0 for the lowest one) = 0 meV/atom
SG = P4/mmm
Volume = 34.7 A^3/atom
Magnetic moment = 15.3 Bohr magnetons per cell
Calculated formation energy = 129 meV/atom

```
Eu2DyTm
1.0
3.632 0.000 0.000
0.000 3.632 0.000
0.000 0.000 10.519
Eu Dy Tm
2 1 1
Cartesian
0.000 0.000 2.607
0.000 0.000 7.912
1.816 1.816 5.259
1.816 1.816 0.000
```



This record from Alexandria describes a relaxed EuDy2V crystal. The functional is PBE.

Properties
SG = Fm-3m
Volume = 27.9 A^3/atom
Magnetic moment = 3.2 Bohr magnetons per cell
Calculated formation energy = 343 meV/atom

```
EuDy2V
1.0
0.000 3.823 3.823
3.823 0.000 3.823
3.823 3.823 0.000
Eu Dy V
1 2 1
Cartesian
0.000 0.000 0.000
1.912 1.912 1.912
5.735 5.735 5.735
3.823 3.823 3.823
```



This record from Alexandria describes a relaxed EuDy2Y crystal. The functional is PBE.

Properties
Polymorph energy (0 for the lowest one) = 36 meV/atom
SG = P4/mmm
Volume = 33.2 A^3/atom
Magnetic moment = 7.2 Bohr magnetons per cell
Calculated formation energy = 94 meV/atom

```
EuDy2Y
1.0
5.100 0.000 0.000
0.000 5.100 0.000
0.000 0.000 5.104
Eu Dy Y
1 2 1
Cartesian
0.000 0.000 0.000
0.000 2.550 2.552
2.550 0.000 2.552
2.550 2.550 0.000
```



This record from Alexandria describes a relaxed Eu2DyY crystal. The functional is PBE.

Properties
Polymorph energy (0 for the lowest one) = 43 meV/atom
SG = Fm-3m
Volume = 35.4 A^3/atom
Magnetic moment = 14.5 Bohr magnetons per cell
Calculated formation energy = 167 meV/atom

```
Eu2DyY
1.0
0.000 4.139 4.139
4.139 0.000 4.139
4.139 4.139 0.000
Eu Dy Y
2 1 1
Cartesian
2.069 2.069 2.069
6.208 6.208 6.208
0.000 0.000 0.000
4.139 4.139 4.139
```



This record from Alexandria describes a relaxed EuDy2Y crystal. The functional is PBE.

Properties
Polymorph energy (0 for the lowest one) = 96 meV/atom
SG = P4/mmm
Volume = 33.5 A^3/atom
Magnetic moment = 8.0 Bohr magnetons per cell
Calculated formation energy = 154 meV/atom

```
EuDy2Y
1.0
5.929 0.000 0.000
0.000 5.929 0.000
0.000 0.000 3.809
Eu Dy Y
1 2 1
Cartesian
0.000 0.000 0.000
0.000 2.965 1.904
2.965 0.000 1.904
2.965 2.965 0.000
```



This record from Alexandria describes a relaxed Eu2DyY crystal. The functional is PBE.

Properties
Polymorph energy (0 for the lowest one) = 0 meV/atom
SG = P4/mmm
Volume = 35.5 A^3/atom
Magnetic moment = 15.3 Bohr magnetons per cell
Calculated formation energy = 124 meV/atom

```
Eu2DyY
1.0
5.176 0.000 0.000
0.000 5.176 0.000
0.000 0.000 5.293
Eu Dy Y
2 1 1
Cartesian
0.000 2.588 0.000
2.588 0.000 0.000
0.000 0.000 2.647
2.588 2.588 2.647
```



This record from Alexandria describes a relaxed EuDyY2 crystal. The functional is PBE.

Properties
Polymorph energy (0 for the lowest one) = 0 meV/atom
SG = P4/mmm
Volume = 33.9 A^3/atom
Magnetic moment = 7.5 Bohr magnetons per cell
Calculated formation energy = 59 meV/atom

```
EuDyY2
1.0
3.621 0.000 0.000
0.000 3.621 0.000
0.000 0.000 10.353
Eu Dy Y
1 1 2
Cartesian
0.000 0.000 0.000
0.000 0.000 5.177
1.810 1.810 2.755
1.810 1.810 7.598
```



This record from Alexandria describes a relaxed EuDyY2 crystal. The functional is PBE.

Properties
Polymorph energy (0 for the lowest one) = 99 meV/atom
SG = Fm-3m
Volume = 33.9 A^3/atom
Magnetic moment = 8.0 Bohr magnetons per cell
Calculated formation energy = 158 meV/atom

```
EuDyY2
1.0
0.000 4.076 4.076
4.076 0.000 4.076
4.076 4.076 0.000
Eu Dy Y
1 1 2
Cartesian
0.000 0.000 0.000
4.076 4.076 4.076
2.038 2.038 2.038
6.114 6.114 6.114
```



This record from Alexandria describes a relaxed EuDy2Y crystal. The functional is PBE.

Properties
Polymorph energy (0 for the lowest one) = 2 meV/atom
SG = P4/mmm
Volume = 33.6 A^3/atom
Magnetic moment = 7.4 Bohr magnetons per cell
Calculated formation energy = 60 meV/atom

```
EuDy2Y
1.0
3.608 0.000 0.000
0.000 3.608 0.000
0.000 0.000 10.323
Eu Dy Y
1 2 1
Cartesian
0.000 0.000 0.000
1.804 1.804 2.723
1.804 1.804 7.600
0.000 0.000 5.162
```



This record from Alexandria describes a relaxed Eu2DyY crystal. The functional is PBE.

Properties
Polymorph energy (0 for the lowest one) = 44 meV/atom
SG = P4/mmm
Volume = 35.5 A^3/atom
Magnetic moment = 14.6 Bohr magnetons per cell
Calculated formation energy = 168 meV/atom

```
Eu2DyY
1.0
5.860 0.000 0.000
0.000 5.860 0.000
0.000 0.000 4.139
Eu Dy Y
2 1 1
Cartesian
0.000 2.930 0.000
2.930 0.000 0.000
0.000 0.000 2.070
2.930 2.930 2.070
```



This record from Alexandria describes a relaxed EuDyY2 crystal. The functional is PBE.

Properties
Polymorph energy (0 for the lowest one) = 36 meV/atom
SG = P4/mmm
Volume = 33.4 A^3/atom
Magnetic moment = 7.2 Bohr magnetons per cell
Calculated formation energy = 95 meV/atom

```
EuDyY2
1.0
5.123 0.000 0.000
0.000 5.123 0.000
0.000 0.000 5.097
Eu Dy Y
1 1 2
Cartesian
0.000 0.000 0.000
2.561 2.561 0.000
0.000 2.561 2.548
2.561 0.000 2.548
```



This record from Alexandria describes a relaxed EuDy2Y crystal. The functional is PBE.

Properties
Polymorph energy (0 for the lowest one) = 105 meV/atom
SG = Fm-3m
Volume = 33.6 A^3/atom
Magnetic moment = 8.3 Bohr magnetons per cell
Calculated formation energy = 163 meV/atom

```
EuDy2Y
1.0
0.000 4.067 4.067
4.067 0.000 4.067
4.067 4.067 0.000
Eu Dy Y
1 2 1
Cartesian
0.000 0.000 0.000
2.033 2.033 2.033
6.100 6.100 6.100
4.067 4.067 4.067
```



This record from Alexandria describes a relaxed EuDy2Y crystal. The functional is PBE.

Properties
Polymorph energy (0 for the lowest one) = 0 meV/atom
SG = R-3m
Volume = 33.5 A^3/atom
Magnetic moment = 7.6 Bohr magnetons per cell
Calculated formation energy = 58 meV/atom

```
EuDy2Y
1.0
1.805 1.042 11.875
-1.805 1.042 11.875
0.000 -2.084 11.875
Eu Dy Y
1 2 1
Cartesian
0.000 0.000 0.000
0.000 0.000 8.782
0.000 0.000 26.842
0.000 0.000 17.812
```



This record from Alexandria describes a relaxed EuDy2Zn crystal. The functional is PBE.

Properties
Polymorph energy (0 for the lowest one) = 90 meV/atom
SG = R-3m
Volume = 30.2 A^3/atom
Magnetic moment = 7.7 Bohr magnetons per cell
Calculated formation energy = -27 meV/atom

```
EuDy2Zn
1.0
1.817 1.049 10.577
-1.817 1.049 10.577
0.000 -2.098 10.577
Eu Dy Zn
1 2 1
Cartesian
0.000 0.000 0.000
0.000 0.000 7.463
0.000 0.000 24.270
0.000 0.000 15.866
```



This record from Alexandria describes a relaxed EuDy2Zn crystal. The functional is PBE.

Properties
Polymorph energy (0 for the lowest one) = 0 meV/atom
SG = P4/mmm
Volume = 29.2 A^3/atom
Magnetic moment = 7.5 Bohr magnetons per cell
Calculated formation energy = -117 meV/atom

```
EuDy2Zn
1.0
3.614 0.000 0.000
0.000 3.614 0.000
0.000 0.000 8.949
Eu Dy Zn
1 2 1
Cartesian
0.000 0.000 0.000
1.807 1.807 2.772
1.807 1.807 6.177
0.000 0.000 4.475
```



This record from Alexandria describes a relaxed EuDyZn4 crystal. The functional is PBE.

Properties
SG = F-43m
Volume = 20.1 A^3/atom
Magnetic moment = 6.9 Bohr magnetons per cell
Calculated formation energy = -275 meV/atom

```
EuDyZn4
1.0
0.000 3.918 3.918
3.918 0.000 3.918
3.918 3.918 0.000
Eu Dy Zn
1 1 4
Cartesian
0.000 0.000 0.000
1.959 1.959 1.959
4.892 2.944 2.944
2.944 4.892 2.944
2.944 2.944 4.892
4.892 4.892 4.892
```



This record from Alexandria describes a relaxed EuDyZn2 crystal. The functional is PBE.

Properties
Polymorph energy (0 for the lowest one) = 24 meV/atom
SG = Fm-3m
Volume = 24.2 A^3/atom
Magnetic moment = 7.1 Bohr magnetons per cell
Calculated formation energy = -275 meV/atom

```
EuDyZn2
1.0
0.000 3.645 3.645
3.645 0.000 3.645
3.645 3.645 0.000
Eu Dy Zn
1 1 2
Cartesian
0.000 0.000 0.000
3.645 3.645 3.645
1.822 1.822 1.822
5.467 5.467 5.467
```



This record from Alexandria describes a relaxed EuDyZn2 crystal. The functional is PBE.

Properties
Polymorph energy (0 for the lowest one) = 234 meV/atom
SG = R-3m
Volume = 27.0 A^3/atom
Magnetic moment = 7.9 Bohr magnetons per cell
Calculated formation energy = -65 meV/atom

```
EuDyZn2
1.0
1.857 1.072 9.042
-1.857 1.072 9.042
0.000 -2.145 9.042
Eu Dy Zn
1 1 2
Cartesian
0.000 0.000 0.000
0.000 0.000 13.563
0.000 0.000 6.659
0.000 0.000 20.468
```



This record from Alexandria describes a relaxed EuDyZn2 crystal. The functional is PBE.

Properties
Polymorph energy (0 for the lowest one) = 0 meV/atom
SG = P4/mmm
Volume = 24.5 A^3/atom
Magnetic moment = 7.2 Bohr magnetons per cell
Calculated formation energy = -299 meV/atom

```
EuDyZn2
1.0
3.655 0.000 0.000
0.000 3.655 0.000
0.000 0.000 7.329
Eu Dy Zn
1 1 2
Cartesian
0.000 0.000 0.000
0.000 0.000 3.664
1.828 1.828 2.026
1.828 1.828 5.303
```



This record from Alexandria describes a relaxed EuDy2Zr crystal. The functional is PBE.

Properties
Polymorph energy (0 for the lowest one) = 105 meV/atom
SG = P4/mmm
Volume = 29.8 A^3/atom
Magnetic moment = 6.8 Bohr magnetons per cell
Calculated formation energy = 201 meV/atom

```
EuDy2Zr
1.0
4.952 0.000 0.000
0.000 4.952 0.000
0.000 0.000 4.854
Eu Dy Zr
1 2 1
Cartesian
0.000 0.000 0.000
0.000 2.476 2.427
2.476 0.000 2.427
2.476 2.476 0.000
```